This record from the Alexandria database describes a relaxed HfSi2Pt crystal. The functional is PBE-GGA.

Results
Total energy in eV/atom: -7.05
Magnetization in μB/f.u.: 0.00
E_form (uncorrected) in eV/atom: -0.34
Density of states at the Fermi level in states/eV per atom: 0.603
Crystal system: tetragonal

CIF file:
```
data_HfSi2Pt
_space_group_name_H-M_alt 'I -4 2 d'
_space_group_IT_number 122
_space_group_name_Hall 'I -4 2bw'
_cell_length_a 4.105
_cell_length_b 4.105
_cell_length_c 17.222
_cell_angle_alpha 90.00
_cell_angle_beta 90.00
_cell_angle_gamma 90.00
loop_
_atom_site_label
_atom_site_fract_x
_atom_site_fract_y
_atom_site_fract_z
Hf1 0.000 0.000 0.000
Si1 0.181 0.250 0.625
Pt1 0.000 0.000 0.500
```